Here is crystalline KBeCoTe at its relaxed geometry from OQMD. Energies are from GGA-PBE.

It has space group F-43m (No. 216), with a = 6.998 Å, b = 6.998 Å, c = 6.998 Å, α = 90.00°, β = 90.00° and γ = 90.00°. Symmetry generates all atoms from K at (0.000, 0.000, 0.000), Be at (0.000, 0.000, 0.500), Co at (0.250, 0.250, 0.250) and Te at (0.250, 0.250, 0.750).

Its electronic total energy is -2.81 eV per atom. The total moment comes out at 1.85 μB per formula unit.